[1]
Ba2LaTlO PBE-GGA relaxed; E = -4.407 eV per atom; DOS at the Fermi energy = 4.2 states/eV/cell; volume = 158.2 Å³/cell
1.0
5.653 0.000 0.000
0.000 5.653 0.000
0.000 0.000 4.950
Ba La Tl O
2 1 1 1
Direct
0.000 0.500 0.000
0.500 0.000 0.000
0.000 0.000 0.500
0.500 0.500 0.500
0.000 0.000 0.000

[2]
Zr3Be2Co7 PBE-GGA relaxed; E = -7.242 eV per atom; DOS at the Fermi energy = 14.6 states/eV/cell; volume = 151.0 Å³/cell; energy of formation = -0.34 eV/atom
1.0
2.440 1.409 7.322
-2.440 1.409 7.322
0.000 -2.817 7.322
Zr Be Co
3 2 7
Direct
0.000 0.000 0.000
0.141 0.141 0.141
0.859 0.859 0.859
0.334 0.334 0.334
0.666 0.666 0.666
0.077 0.579 0.579
0.421 0.421 0.923
0.421 0.923 0.421
0.500 0.500 0.500
0.579 0.077 0.579
0.579 0.579 0.077
0.923 0.421 0.421

[3]
UZnInPt PBE-GGA relaxed; E = -5.616 eV per atom; DOS at the Fermi energy = 9.5 states/eV/cell; volume = 80.1 Å³/cell; energy of formation = -0.28 eV/atom
1.0
0.000 3.421 3.421
3.421 0.000 3.421
3.421 3.421 0.000
U Zn In Pt
1 1 1 1
Direct
0.000 0.000 0.000
0.250 0.250 0.250
0.500 0.500 0.500
0.750 0.750 0.750

[4]
MnPb2Br PBE-GGA relaxed; E = -4.195 eV per atom; DOS at the Fermi energy = 3.0 states/eV/cell; volume = 108.0 Å³/cell; polymorph energy (0 for the lowest one) = 341.5 meV/atom
1.0
0.000 3.780 3.780
3.780 0.000 3.780
3.780 3.780 0.000
Mn Pb Br
1 2 1
Direct
0.000 0.000 0.000
0.250 0.250 0.250
0.750 0.750 0.750
0.500 0.500 0.500

[5]
ZnNi2Sn2 PBE-GGA relaxed; E = -4.233 eV per atom; DOS at the Fermi energy = 5.4 states/eV/cell; volume = 167.5 Å³/cell; energy of formation = -0.06 eV/atom; polymorph energy (0 for the lowest one) = 0.0 meV/atom
1.0
6.648 0.000 0.000
0.000 6.648 0.000
0.000 0.000 3.791
Zn Ni Sn
2 4 4
Direct
0.000 0.000 0.000
0.500 0.500 0.000
0.138 0.362 0.000
0.362 0.862 0.000
0.638 0.138 0.000
0.862 0.638 0.000
0.165 0.665 0.500
0.335 0.165 0.500
0.665 0.835 0.500
0.835 0.335 0.500

[6]
TbIn2Sn PBE-GGA relaxed; E = -3.773 eV per atom; DOS at the Fermi energy = 2.4 states/eV/cell; volume = 105.6 Å³/cell; energy of formation = -0.25 eV/atom; polymorph energy (0 for the lowest one) = 190.5 meV/atom
1.0
3.906 0.000 0.000
0.000 3.906 0.000
0.000 0.000 6.922
Tb In Sn
1 2 1
Direct
0.000 0.000 0.000
0.500 0.500 0.268
0.500 0.500 0.732
0.000 0.000 0.500

[7]
Pm4Ga5Cu2 PBE-GGA relaxed; E = -4.270 eV per atom; DOS at the Fermi energy = 7.2 states/eV/cell; volume = 246.4 Å³/cell; energy of formation = -0.42 eV/atom
1.0
7.050 0.000 0.000
0.000 3.828 0.000
-0.583 0.000 9.132
Pm Ga Cu
4 5 2
Direct
0.183 0.000 0.377
0.259 0.000 0.931
0.741 0.000 0.069
0.817 0.000 0.623
0.190 0.500 0.662
0.438 0.500 0.197
0.500 0.500 0.500
0.562 0.500 0.803
0.810 0.500 0.338
0.067 0.500 0.133
0.933 0.500 0.867

[8]
ErLu2Zn PBE-GGA relaxed; E = -3.885 eV per atom; DOS at the Fermi energy = 4.1 states/eV/cell; volume = 103.3 Å³/cell; energy of formation = -0.16 eV/atom; polymorph energy (0 for the lowest one) = 0.0 meV/atom
1.0
3.490 0.000 0.000
0.000 3.490 0.000
0.000 0.000 8.481
Er Lu Zn
1 2 1
Direct
0.000 0.000 0.000
0.500 0.500 0.295
0.500 0.500 0.705
0.000 0.000 0.500

[9]
LiCaErMg PBE-GGA relaxed; E = -2.461 eV per atom; DOS at the Fermi energy = 4.8 states/eV/cell; volume = 113.0 Å³/cell; energy of formation = 0.06 eV/atom
1.0
0.000 3.837 3.837
3.837 0.000 3.837
3.837 3.837 0.000
Li Ca Er Mg
1 1 1 1
Direct
0.000 0.000 0.000
0.250 0.250 0.250
0.750 0.750 0.750
0.500 0.500 0.500

[10]
Mg3Ru2 PBE-GGA relaxed; E = -4.530 eV per atom; DOS at the Fermi energy = 7.3 states/eV/cell; volume = 173.5 Å³/cell; energy of formation = 0.14 eV/atom; polymorph energy (0 for the lowest one) = 283.7 meV/atom
1.0
0.000 7.516 2.363
4.887 0.000 2.363
4.887 7.516 0.000
Mg Ru
6 4
Direct
0.000 0.000 0.000
0.250 0.250 0.250
0.436 0.568 0.359
0.568 0.436 0.636
0.614 0.891 0.682
0.891 0.614 0.814
0.171 0.752 0.272
0.445 0.978 0.498
0.752 0.171 0.805
0.978 0.445 0.079

[11]
HfZr3 PBE-GGA relaxed; E = -8.901 eV per atom; DOS at the Fermi energy = 5.2 states/eV/cell; volume = 185.0 Å³/cell; energy of formation = 0.00 eV/atom; polymorph energy (0 for the lowest one) = 0.0 meV/atom
1.0
6.453 0.000 0.000
-3.226 5.588 0.000
0.000 0.000 5.130
Hf Zr
2 6
Direct
0.333 0.667 0.250
0.667 0.333 0.750
0.167 0.334 0.750
0.167 0.833 0.750
0.334 0.167 0.250
0.666 0.833 0.750
0.833 0.167 0.250
0.833 0.666 0.250

[12]
LiNpGa2 PBE-GGA relaxed; E = -5.318 eV per atom; DOS at the Fermi energy = 2.9 states/eV/cell; volume = 70.8 Å³/cell; energy of formation = -0.09 eV/atom; polymorph energy (0 for the lowest one) = 48.7 meV/atom
1.0
5.294 0.000 0.000
0.000 5.294 0.000
0.000 0.000 2.525
Li Np Ga
1 1 2
Direct
0.000 0.000 0.000
0.500 0.500 0.000
0.000 0.500 0.500
0.500 0.000 0.500